# 1
An optimized crystal structure of CrAsSe3. Source: the Alexandria database, functional PBE.

abc: 5.0278 5.0278 5.0278
angles: 90.00 90.00 90.00
Each line ends with the local moment (μB).
Element x y z (fractional)
Cr (0.5000, 0.5000, 0.5000)  4.09
As (0.0000, 0.0000, 0.0000)  0.01
Se (0.0000, 0.5000, 0.0000)  -0.26
Se (0.0000, 0.0000, 0.5000)  -0.19
Se (0.5000, 0.0000, 0.0000)  -0.21

Formation energy without anion corrections (eV per atom): 0.6117
Volume (Å³/atom): 25.4
Raw total energy (eV/atom): -4.334

---

# 2
An optimized crystal structure of Al2PdPt. Source: the Alexandria database, functional PBE.

abc: 3.1214 4.3288 4.3288
angles: 90.00 90.00 90.00
Element x y z (fractional)
Pd (0.5000, 0.5000, 0.5000)
Pt (0.5000, 0.0000, 0.0000)
Al (0.0000, 0.0000, 0.5000)
Al (0.0000, 0.5000, 0.0000)

Volume (Å³/atom): 14.6
Raw total energy (eV/atom): -5.601
E_form (eV/atom): -0.92

---

# 3
An optimized crystal structure of Pr2GaCu. Source: the Alexandria database, functional PBE.

abc: 4.4851 6.0352 7.8271
angles: 106.09 90.00 90.00
Element x y z (fractional)
Pr (0.7500, 0.2065, 0.4457)
Pr (0.2500, 0.7935, 0.5543)
Pr (0.2500, 0.7865, 0.0800)
Pr (0.7500, 0.2135, 0.9200)
Ga (0.2500, 0.3426, 0.2220)
Ga (0.7500, 0.6574, 0.7780)
Cu (0.7500, 0.6040, 0.2812)
Cu (0.2500, 0.3960, 0.7188)

Volume (Å³/atom): 25.4
Raw total energy (eV/atom): -4.505
E_form (eV/atom): -0.33

---

# 4
An optimized crystal structure of FeSbSe2N. Source: the Alexandria database, functional PBE.

abc: 5.3449 5.3449 3.8888
angles: 90.00 90.00 90.00
Each line ends with the local moment (μB).
Element x y z (fractional)
Sb (0.0000, 0.0000, 0.0000)  -0.01
Fe (0.5000, 0.5000, 0.5000)  3.45
Se (0.0000, 0.5000, 0.0000)  0.14
Se (0.5000, 0.0000, 0.0000)  0.14
N (0.0000, 0.0000, 0.5000)  0.19

Energy relative to the lowest polymorph listed for this composition (meV/atom): 894.5
Formation energy without anion corrections (eV per atom): 1.1161
Volume (Å³/atom): 22.2
Raw total energy (eV/atom): -4.460

---

# 5
An optimized crystal structure of HfNi2H2. Source: the Alexandria database, functional PBE.

abc: 3.3921 3.3921 4.6932
angles: 68.81 68.81 90.00
Element x y z (fractional)
Ni (0.3331, 0.3331, 0.3339)
Ni (0.6669, 0.6669, 0.6661)
Hf (0.0000, 0.0000, 0.0000)
H (0.7500, 0.2500, 0.5000)
H (0.2500, 0.7500, 0.5000)

Energy relative to the lowest polymorph listed for this composition (meV/atom): 0.0
Volume (Å³/atom): 9.3
Raw total energy (eV/atom): -5.943

---

# 6
An optimized crystal structure of AcCoHg. Source: the Alexandria database, functional PBE.

abc: 4.1553 5.5231 6.9955
angles: 101.90 107.28 90.00
Each line ends with the local moment (μB).
Element x y z (fractional)
Co (0.7712, 0.0939, 0.5423)  1.00
Co (0.2288, 0.9061, 0.4577)  1.00
Hg (0.5855, 0.7800, 0.1709)  -0.02
Hg (0.4145, 0.2200, 0.8291)  -0.02
Ac (0.8748, 0.6892, 0.7496)  -0.09
Ac (0.1252, 0.3108, 0.2504)  -0.09

Volume (Å³/atom): 24.9
Raw total energy (eV/atom): -4.017
E_form (eV/atom): -0.18

---

# 7
An optimized crystal structure of LiAgSn2. Source: the Alexandria database, functional PBE.

abc: 4.6320 4.6320 5.8255
angles: 66.57 66.57 60.00
Element x y z (fractional)
Li (0.4876, 0.4876, 0.5371)
Ag (0.6746, 0.6746, 0.9762)
Sn (0.0698, 0.0698, 0.7906)
Sn (0.2680, 0.2680, 0.1960)

Energy relative to the lowest polymorph listed for this composition (meV/atom): 51.2
Volume (Å³/atom): 24.0
Raw total energy (eV/atom): -3.291
E_form (eV/atom): -0.10

---

# 8
An optimized crystal structure of NaNi5As3. Source: the Alexandria database, functional PBE.

abc: 3.6849 6.4248 11.8258
angles: 90.00 90.00 106.66
Element x y z (fractional)
Na (0.8362, 0.6725, 0.7500)
Na (0.1638, 0.3275, 0.2500)
Ni (0.8058, 0.6117, 0.4354)
Ni (0.1942, 0.3883, 0.9354)
Ni (0.0000, 0.0000, 0.5000)
Ni (0.0000, 0.0000, 0.0000)
Ni (0.4480, 0.8960, 0.1427)
Ni (0.5520, 0.1040, 0.8573)
Ni (0.5520, 0.1040, 0.6427)
Ni (0.8058, 0.6117, 0.0646)
Ni (0.1942, 0.3883, 0.5646)
Ni (0.4480, 0.8960, 0.3573)
As (0.3795, 0.7590, 0.9521)
As (0.8851, 0.7702, 0.2500)
As (0.3795, 0.7590, 0.5479)
As (0.6205, 0.2410, 0.4521)
As (0.1149, 0.2298, 0.7500)
As (0.6205, 0.2410, 0.0479)

Volume (Å³/atom): 14.9
Raw total energy (eV/atom): -5.250
E_form (eV/atom): -0.34

---

Question: Among the records above, which one has the lowest volume?
Answer: HfNi2H2

---

Question: Which formula does entry 6 have?
Answer: AcCoHg

---

Question: Which value of volume does entry 1 give?
Answer: 25.4 Å³/atom